<1>
DFT (PBE) results for Si2NiBr after structural relaxation.

a = 3.006 Å, b = 4.311 Å, c = 4.992 Å
α = 90.00°, β = 90.00°, γ = 90.00°
Fractional positions:
Br 0.500 0.000 0.500
Si 0.500 0.500 0.000
Ni 0.000 0.500 0.500
Si 0.000 0.000 0.000

Calculated values
DOS(E_F): 3.024 states/eV per cell
magnetization: 0.0000 μB/atom
symmetry: Pmmm
density: 5.000 g/cm³

***

<2>
DFT (PBE) results for Si2NiBr after structural relaxation.

a = 3.322 Å, b = 3.322 Å, c = 7.224 Å
α = 90.00°, β = 90.00°, γ = 105.59°
Fractional positions:
Si 0.000 0.000 0.964
Si 0.500 0.500 0.144
Br 0.000 0.000 0.586
Ni 0.500 0.500 0.807

Calculated values
DOS(E_F): 1.381 states/eV per cell
magnetization: 0.0000 μB/atom
symmetry: Cmm2
density: 4.212 g/cm³

***

<3>
DFT (PBE) results for Si2NiBr after structural relaxation.

a = 4.552 Å, b = 4.552 Å, c = 4.552 Å
α = 60.00°, β = 60.00°, γ = 60.00°
Fractional positions:
Si 0.750 0.750 0.750
Si 0.250 0.250 0.250
Br 0.500 0.500 0.500
Ni 0.000 0.000 0.000

Calculated values
DOS(E_F): 3.262 states/eV per cell
magnetization: 0.0000 μB/atom
symmetry: Fm-3m
density: 4.849 g/cm³

***

Stability, lowest: <3>

***

<1>
DFT (PBE) results for Si2NiBr after structural relaxation.

a = 6.349 Å, b = 6.349 Å, c = 6.349 Å
α = 34.73°, β = 34.73°, γ = 34.73°
Fractional positions:
Si 0.458 0.458 0.458
Si 0.042 0.042 0.042
Ni 0.750 0.750 0.750
Br 0.250 0.250 0.250

Calculated values
DOS(E_F): 1.857 states/eV per cell
magnetization: 0.0000 μB/atom
symmetry: R-3m
density: 4.363 g/cm³

***

<2>
DFT (PBE) results for Si2NiBr after structural relaxation.

a = 3.065 Å, b = 3.066 Å, c = 6.899 Å
α = 90.00°, β = 90.00°, γ = 90.00°
Fractional positions:
Si 0.000 0.000 0.940
Br 0.500 0.500 0.250
Si 0.000 0.000 0.560
Ni 0.500 0.500 0.750

Calculated values
DOS(E_F): 1.560 states/eV per cell
magnetization: 0.0000 μB/atom
symmetry: P4/mmm
density: 4.989 g/cm³

***

Stability, lowest: <2>

***

<1>
DFT (PBE) results for Si2NiBr after structural relaxation.

a = 4.508 Å, b = 4.508 Å, c = 4.508 Å
α = 60.00°, β = 60.00°, γ = 60.00°
Fractional positions:
Ni 0.750 0.750 0.750
Br 0.500 0.500 0.500
Si 0.250 0.250 0.250
Si 0.000 0.000 0.000

Calculated values
DOS(E_F): 2.705 states/eV per cell
magnetization: 0.0000 μB/atom
symmetry: F-43m
density: 4.992 g/cm³

***

<2>
DFT (PBE) results for Si2NiBr after structural relaxation.

a = 3.993 Å, b = 3.993 Å, c = 7.240 Å
α = 62.30°, β = 62.30°, γ = 51.51°
Fractional positions:
Br 0.559 0.559 0.447
Si 0.979 0.979 0.020
Si 0.760 0.760 0.871
Ni 0.201 0.201 0.161

Calculated values
DOS(E_F): 2.324 states/eV per cell
magnetization: 0.0000 μB/atom
symmetry: Cm
density: 4.179 g/cm³

***

Stability, lowest: <1>

***

<1>
DFT (PBE) results for Si2NiBr after structural relaxation.

a = 3.544 Å, b = 3.499 Å, c = 6.881 Å
α = 90.95°, β = 90.00°, γ = 90.00°
Fractional positions:
Si 0.500 0.258 0.058
Si 0.000 0.758 0.042
Br 0.000 0.735 0.581
Ni 0.500 0.749 0.819

Calculated values
DOS(E_F): 2.120 states/eV per cell
magnetization: 0.0000 μB/atom
symmetry: Pm
density: 3.792 g/cm³

***

<2>
DFT (PBE) results for Si2NiBr after structural relaxation.

a = 4.738 Å, b = 4.738 Å, c = 3.052 Å
α = 90.00°, β = 90.00°, γ = 108.78°
Fractional positions:
Si 0.500 0.500 0.000
Br 0.500 0.000 0.500
Si 0.000 0.000 0.000
Ni 0.000 0.500 0.500

Calculated values
DOS(E_F): 1.405 states/eV per cell
magnetization: 0.0000 μB/atom
symmetry: Cmmm
density: 4.986 g/cm³

***

Stability, lowest: <2>

***

<1>
DFT (PBE) results for SiNiBr2 after structural relaxation.

a = 6.200 Å, b = 6.200 Å, c = 5.057 Å
α = 90.12°, β = 90.12°, γ = 35.44°
Fractional positions:
Ni 0.615 0.615 0.322
Br 0.698 0.698 0.745
Si 0.203 0.203 0.202
Br 0.983 0.983 0.230

Calculated values
DOS(E_F): 1.482 states/eV per cell
magnetization: 0.0000 μB/atom
symmetry: Cm
density: 3.633 g/cm³

***

<2>
DFT (PBE) results for SiNiBr2 after structural relaxation.

a = 3.471 Å, b = 2.759 Å, c = 9.256 Å
α = 90.00°, β = 90.00°, γ = 90.00°
Fractional positions:
Ni 0.000 0.000 0.667
Br 0.500 0.500 0.323
Si 0.500 0.500 0.582
Br 0.000 0.000 0.929

Calculated values
DOS(E_F): 2.850 states/eV per cell
magnetization: 0.0001 μB/atom
symmetry: Pmm2
density: 4.620 g/cm³

***

Stability, lowest: <1>

***

<1>
DFT (PBE) results for SiNiBr2 after structural relaxation.

a = 6.748 Å, b = 6.748 Å, c = 6.748 Å
α = 147.82°, β = 147.82°, γ = 46.15°
Fractional positions:
Br 0.250 0.750 0.500
Si 0.750 0.250 0.500
Ni 0.500 0.500 0.000
Br 0.000 0.000 0.000

Calculated values
DOS(E_F): 1.810 states/eV per cell
magnetization: 0.0000 μB/atom
symmetry: I-4m2
density: 4.716 g/cm³

***

<2>
DFT (PBE) results for SiNiBr2 after structural relaxation.

a = 3.769 Å, b = 3.769 Å, c = 8.699 Å
α = 90.00°, β = 90.00°, γ = 124.61°
Fractional positions:
Ni 0.000 0.000 0.538
Br 0.000 0.000 0.923
Br 0.500 0.500 0.347
Si 0.500 0.500 0.692

Calculated values
DOS(E_F): 1.108 states/eV per cell
magnetization: 0.0000 μB/atom
symmetry: Cmm2
density: 4.027 g/cm³

***

<3>
DFT (PBE) results for SiNiBr2 after structural relaxation.

a = 3.593 Å, b = 3.593 Å, c = 8.433 Å
α = 90.00°, β = 90.00°, γ = 124.55°
Fractional positions:
Si 0.500 0.500 0.750
Br 0.000 0.000 0.045
Ni 0.500 0.500 0.250
Br 0.000 0.000 0.455

Calculated values
DOS(E_F): 3.187 states/eV per cell
magnetization: 0.1863 μB/atom
symmetry: Cmmm
density: 4.567 g/cm³

***

Stability, lowest: <1>